# Tb12CeNd6

Crystalline Tb12CeNd6 at its relaxed geometry (PBE, Alexandria).

a = 8.7858 Å, b = 8.7858 Å, c = 8.7858 Å
α = 99.12°, β = 99.12°, γ = 99.12°
With the nearest neighbours (Å) after each atom.
Element x y z (fractional)
Tb  0.0000  0.2562  0.7438  6 Tb 3.37-3.56, 4 Nd 3.48-3.62
Tb  0.0000  0.7438  0.2562  6 Tb 3.37-3.56, 4 Nd 3.48-3.62
Tb  0.1470  0.1470  0.4203  6 Tb 3.37-3.65, 2 Nd 3.77
Tb  0.1470  0.4203  0.1470  6 Tb 3.37-3.65, 2 Nd 3.77
Tb  0.2562  0.0000  0.7438  6 Tb 3.37-3.56, 4 Nd 3.48-3.62
Tb  0.2562  0.7438  0.0000  6 Tb 3.37-3.56, 4 Nd 3.48-3.62
Tb  0.4203  0.1470  0.1470  6 Tb 3.37-3.65, 2 Nd 3.77
Tb  0.5797  0.8530  0.8530  6 Tb 3.37-3.65, 2 Nd 3.77
Tb  0.7438  0.0000  0.2562  6 Tb 3.37-3.56, 4 Nd 3.48-3.62
Tb  0.7438  0.2562  0.0000  6 Tb 3.37-3.56, 4 Nd 3.48-3.62
Tb  0.8530  0.5797  0.8530  6 Tb 3.37-3.65, 2 Nd 3.77
Tb  0.8530  0.8530  0.5797  6 Tb 3.37-3.65, 2 Nd 3.77
Ce  0.5000  0.5000  0.5000  6 Nd 3.44
Nd  0.1595  0.5978  0.5978  1 Nd 3.13, 1 Ce 3.44, 2 Tb 3.48
Nd  0.4022  0.4022  0.8405  1 Nd 3.13, 1 Ce 3.44, 2 Tb 3.48
Nd  0.4022  0.8405  0.4022  1 Nd 3.13, 1 Ce 3.44, 2 Tb 3.48
Nd  0.5978  0.1595  0.5978  1 Nd 3.13, 1 Ce 3.44, 2 Tb 3.48
Nd  0.5978  0.5978  0.1595  1 Nd 3.13, 1 Ce 3.44, 2 Tb 3.48
Nd  0.8405  0.4022  0.4022  1 Nd 3.13, 1 Ce 3.44, 2 Tb 3.48

magnetic moment	0.03	μB per atom
Fermi-level density of states	1.688	states/eV/atom
calculated formation energy	0.21	eV per atom
V	649.3	Å³/cell

# Tb4CeNd3

Crystalline Tb4CeNd3 at its relaxed geometry (PBE, Alexandria).

a = 25.4682 Å, b = 3.4381 Å, c = 6.1256 Å
α = 90.00°, β = 94.98°, γ = 90.00°
With the nearest neighbours (Å) after each atom.
Element x y z (fractional)
Tb  0.1056  0.0000  0.2243  3 Nd 3.21-3.30, 2 Ce 3.38, 4 Tb 3.40-3.44
Tb  0.2209  0.5000  0.2373  1 Nd 3.39, 6 Tb 3.40-3.79
Tb  0.2791  0.0000  0.7627  1 Nd 3.39, 6 Tb 3.40-3.79
Tb  0.3944  0.5000  0.7757  3 Nd 3.21-3.30, 2 Ce 3.38, 4 Tb 3.40-3.44
Tb  0.6056  0.5000  0.2243  3 Nd 3.21-3.30, 2 Ce 3.38, 4 Tb 3.40-3.44
Tb  0.7209  0.0000  0.2373  1 Nd 3.39, 6 Tb 3.40-3.79
Tb  0.7791  0.5000  0.7627  1 Nd 3.39, 6 Tb 3.40-3.79
Tb  0.8944  0.0000  0.7757  3 Nd 3.21-3.30, 2 Ce 3.38, 4 Tb 3.40-3.44
Ce  0.0000  0.5000  0.0000  4 Tb 3.38, 2 Ce 3.44, 4 Nd 3.51
Ce  0.5000  0.0000  0.0000  4 Tb 3.38, 2 Ce 3.44, 4 Nd 3.51
Nd  0.0000  0.0000  0.5000  2 Tb 3.30, 2 Nd 3.44, 4 Ce 3.51
Nd  0.1455  0.0000  0.7409  3 Tb 3.21-3.39, 2 Nd 3.44
Nd  0.3545  0.5000  0.2591  3 Tb 3.21-3.39, 2 Nd 3.44
Nd  0.5000  0.5000  0.5000  2 Tb 3.30, 2 Nd 3.44, 4 Ce 3.51
Nd  0.6455  0.5000  0.7409  3 Tb 3.21-3.39, 2 Nd 3.44
Nd  0.8545  0.0000  0.2591  3 Tb 3.21-3.39, 2 Nd 3.44

magnetic moment	0.11	μB per atom
Fermi-level density of states	1.815	states/eV/atom
calculated formation energy	0.24	eV per atom
V	534.3	Å³/cell

# TbCeNd2

Crystalline TbCeNd2 at its relaxed geometry (PBE, Alexandria).

a = 3.5816 Å, b = 3.5816 Å, c = 10.2692 Å
α = 90.00°, β = 90.00°, γ = 90.00°
With the nearest neighbours (Å) after each atom.
Element x y z (fractional)
Tb  0.0000  0.0000  0.0000  4 Tb 3.58, 8 Nd 3.65
Ce  0.0000  0.0000  0.5000  8 Nd 3.56, 4 Ce 3.58
Nd  0.5000  0.5000  0.2562  4 Ce 3.56, 4 Nd 3.58, 4 Tb 3.65
Nd  0.5000  0.5000  0.7438  4 Ce 3.56, 4 Nd 3.58, 4 Tb 3.65

magnetic moment	0.16	μB per atom
Fermi-level density of states	2.015	states/eV/atom
calculated formation energy	0.07	eV per atom
offset from the most stable computed form	0.006	eV per atom
V	131.7	Å³/cell

# TbCeNdTc

Crystalline TbCeNdTc at its relaxed geometry (PBE, Alexandria).

a = 4.4314 Å, b = 4.4314 Å, c = 20.3964 Å
α = 90.00°, β = 90.00°, γ = 120.00°
With the nearest neighbours (Å) after each atom.
Element x y z (fractional)
Tb  0.0000  0.0000  0.0000  3 Tc 3.12, 3 Ce 3.30
Tb  0.3333  0.6667  0.6667  3 Tc 3.12, 3 Ce 3.30
Tb  0.6667  0.3333  0.3333  3 Tc 3.12, 3 Ce 3.30
Ce  0.0000  0.0000  0.7690  3 Tc 2.58
Ce  0.3333  0.6667  0.4356  3 Tc 2.58
Ce  0.6667  0.3333  0.1023  3 Tc 2.58
Nd  0.0000  0.0000  0.2124  3 Ce 3.40, 3 Tb 3.55, 3 Tc 3.61
Nd  0.3333  0.6667  0.8791  3 Ce 3.40, 3 Tb 3.55, 3 Tc 3.61
Nd  0.6667  0.3333  0.5458  3 Ce 3.40, 3 Tb 3.55, 3 Tc 3.61
Tc  0.0000  0.0000  0.4206  3 Ce 2.58
Tc  0.3333  0.6667  0.0873  3 Ce 2.58
Tc  0.6667  0.3333  0.7539  3 Ce 2.58

magnetic moment	0.00	μB per atom
Fermi-level density of states	1.250	states/eV/atom
calculated formation energy	0.10	eV per atom
V	346.8	Å³/cell

# Tb3CeNd4Te8

Crystalline Tb3CeNd4Te8 at its relaxed geometry (PBE, Alexandria).

a = 8.9338 Å, b = 8.9338 Å, c = 8.9338 Å
α = 59.53°, β = 59.53°, γ = 59.53°
With the nearest neighbours (Å) after each atom.
Element x y z (fractional)
Tb  0.0000  0.5000  0.5000  6 Te 3.10
Tb  0.5000  0.0000  0.5000  6 Te 3.10
Tb  0.5000  0.5000  0.0000  6 Te 3.10
Ce  0.0000  0.0000  0.0000  6 Te 3.14
Nd  0.0000  0.0000  0.5000  6 Te 3.19
Nd  0.0000  0.5000  0.0000  6 Te 3.19
Nd  0.5000  0.0000  0.0000  6 Te 3.19
Nd  0.5000  0.5000  0.5000  6 Te 3.16
Te  0.2493  0.2493  0.7436  2 Tb 3.10, 1 Ce 3.14, 3 Nd 3.16-3.19
Te  0.2493  0.7436  0.2493  2 Tb 3.10, 1 Ce 3.14, 3 Nd 3.16-3.19
Te  0.2536  0.2536  0.2536  3 Tb 3.10, 3 Nd 3.19
Te  0.2564  0.7507  0.7507  2 Tb 3.10, 1 Ce 3.14, 3 Nd 3.16-3.19
Te  0.7436  0.2493  0.2493  2 Tb 3.10, 1 Ce 3.14, 3 Nd 3.16-3.19
Te  0.7464  0.7464  0.7464  3 Tb 3.10, 3 Nd 3.19
Te  0.7507  0.2564  0.7507  2 Tb 3.10, 1 Ce 3.14, 3 Nd 3.16-3.19
Te  0.7507  0.7507  0.2564  2 Tb 3.10, 1 Ce 3.14, 3 Nd 3.16-3.19

magnetic moment	0.07	μB per atom
formation energy from raw total energies	-1.37	eV/atom
Fermi-level density of states	1.021	states/eV/atom
V	498.7	Å³/cell

# TbCe3Nd2Te6

Crystalline TbCe3Nd2Te6 at its relaxed geometry (PBE, Alexandria).

a = 7.7206 Å, b = 7.7206 Å, c = 7.7998 Å
α = 99.50°, β = 99.50°, γ = 120.06°
With the nearest neighbours (Å) after each atom.
Element x y z (fractional)
Tb  0.0000  0.0000  0.0000  6 Te 3.10-3.12
Ce  0.1707  0.8293  0.5000  6 Te 3.16-3.19
Ce  0.5000  0.5000  0.5000  6 Te 3.16-3.21
Ce  0.8293  0.1707  0.5000  6 Te 3.16-3.19
Nd  0.3340  0.6660  0.0000  6 Te 3.17-3.18
Nd  0.6660  0.3340  0.0000  6 Te 3.17-3.18
Te  0.0815  0.4085  0.2456  1 Tb 3.10, 3 Ce 3.16-3.19, 2 Nd 3.17
Te  0.2431  0.2431  0.7502  1 Tb 3.12, 2 Nd 3.18, 3 Ce 3.18-3.21
Te  0.4085  0.0815  0.2456  1 Tb 3.10, 3 Ce 3.16-3.19, 2 Nd 3.17
Te  0.5915  0.9185  0.7544  1 Tb 3.10, 3 Ce 3.16-3.19, 2 Nd 3.17
Te  0.7569  0.7569  0.2498  1 Tb 3.12, 2 Nd 3.18, 3 Ce 3.18-3.21
Te  0.9185  0.5915  0.7544  1 Tb 3.10, 3 Ce 3.16-3.19, 2 Nd 3.17

magnetic moment	0.29	μB per atom
formation energy from raw total energies	-1.38	eV/atom
Fermi-level density of states	1.948	states/eV/atom
V	379.8	Å³/cell